Compound: TiHOs2
Source: Alexandria
Functional: GGA-PBE
Structure: relaxed

Computed properties:
Calculated total energy = -0.307 hartree per atom
Space-group type = No. 122

Lattice parameters (Å, degrees): 6.5933 6.5933 4.4549 90.00 90.00 90.00
Closest atoms and distances in Å follow each position.
Fractional positions:
Ti (0.0000, 0.0000, 0.0000)  2 H 2.23
Ti (0.0000, 0.5000, 0.2500)  2 H 2.23
Ti (0.5000, 0.0000, 0.7500)  2 H 2.23
Ti (0.5000, 0.5000, 0.5000)  2 H 2.23
H (0.0000, 0.0000, 0.5000)  4 Os 1.97
H (0.0000, 0.5000, 0.7500)  4 Os 1.97
H (0.5000, 0.0000, 0.2500)  4 Os 1.97
H (0.5000, 0.5000, 0.0000)  4 Os 1.97
Os (0.1409, 0.2500, 0.6250)  2 H 1.97
Os (0.2500, 0.6409, 0.8750)  2 H 1.97
Os (0.2500, 0.8591, 0.3750)  2 H 1.97
Os (0.3591, 0.2500, 0.1250)  2 H 1.97
Os (0.6409, 0.7500, 0.1250)  2 H 1.97
Os (0.7500, 0.1409, 0.3750)  2 H 1.97
Os (0.7500, 0.3591, 0.8750)  2 H 1.97
Os (0.8591, 0.7500, 0.6250)  2 H 1.97

=====

Compound: ThPb3
Source: Alexandria
Functional: GGA-PBE
Structure: relaxed

Computed properties:
E_form = -0.231 eV/atom
Space-group type = No. 221

Lattice parameters (Å, degrees): 4.9065 4.9065 4.9065 90.00 90.00 90.00
Closest atoms and distances in Å follow each position.
Fractional positions:
Th (0.0000, 0.0000, 0.0000)  12 Pb 3.47
Pb (0.0000, 0.5000, 0.5000)  8 Pb 3.47, 4 Th 3.47
Pb (0.5000, 0.0000, 0.5000)  8 Pb 3.47, 4 Th 3.47
Pb (0.5000, 0.5000, 0.0000)  8 Pb 3.47, 4 Th 3.47

=====

Number 1: total moment 0.0 μB/f.u., Fermi-level density of states 8.7 states/eV per cell. Number 2: total moment 0.0 μB/f.u., Fermi-level density of states 4.1 states/eV per cell.